## Nd4ZnRh (PBE-GGA)

Data for a relaxed Nd4ZnRh crystal.

```
data_Nd4ZnRh
_cell_length_a 9.8138
_cell_length_b 9.8138
_cell_length_c 9.8138
_cell_angle_alpha 60.00
_cell_angle_beta 60.00
_cell_angle_gamma 60.00
_symmetry_space_group_name_H-M 'P 1'
_symmetry_Int_Tables_number 1
loop_
_symmetry_equiv_pos_as_xyz
'x,y,z'
loop_
_atom_site_label
_atom_site_fract_x
_atom_site_fract_y
_atom_site_fract_z
Nd1 0.3976 0.3976 0.3976
Nd2 0.8073 0.3976 0.3976
Nd3 0.3976 0.8073 0.3976
Nd4 0.3976 0.3976 0.8073
Nd5 0.5576 0.5576 0.9424
Nd6 0.9424 0.9424 0.5576
Nd7 0.5576 0.9424 0.5576
Nd8 0.9424 0.5576 0.9424
Nd9 0.9424 0.5576 0.5576
Nd10 0.5576 0.9424 0.9424
Nd11 0.1871 0.1871 0.8129
Nd12 0.8129 0.8129 0.1871
Nd13 0.1871 0.8129 0.1871
Nd14 0.8129 0.1871 0.8129
Nd15 0.8129 0.1871 0.1871
Nd16 0.1871 0.8129 0.8129
Zn1 0.1715 0.1715 0.1715
Zn2 0.4854 0.1715 0.1715
Zn3 0.1715 0.4854 0.1715
Zn4 0.1715 0.1715 0.4854
Rh1 0.6073 0.6073 0.6073
Rh2 0.1780 0.6073 0.6073
Rh3 0.6073 0.1780 0.6073
Rh4 0.6073 0.6073 0.1780
```

The space-group type is F-43m. The calculation puts the energy above the most stable polymorph in this dataset at 0.0000 eV per atom. As for the magnetization: 0.00 μB/cell.